VIrN2O: optimized geometry, PBE+U.

a = 3.880 Å, b = 3.880 Å, c = 3.615 Å
α = 90.00°, β = 90.00°, γ = 90.00°
Sites, in units of the cell vectors:
V 0.000 0.000 0.000
Ir 0.500 0.500 0.500
N 0.000 0.500 0.000
N 0.500 0.000 0.000
O 0.000 0.000 0.500

Output
DOS at the Fermi energy = 4.3 states/eV/f.u.
VASP energy = -6.68 eV/atom